[1]
Computed, not measured: Sr2ZnAgF8 after structural relaxation at the PBE level of DFT.

Cell: 4.1838 5.5770 8.3141 Å, 81.93 88.35 81.74°
Fractional positions:
Sr1 0.0003 0.0044 0.2439
Sr2 0.9997 0.9956 0.7561
Zn1 0.5000 0.5000 0.0000
Ag1 0.5000 0.5000 0.5000
F1 0.0742 0.7489 0.5253
F2 0.0966 0.7310 0.0292
F3 0.4433 0.2577 0.7194
F4 0.4439 0.2622 0.1958
F5 0.5561 0.7378 0.8042
F6 0.5567 0.7423 0.2806
F7 0.9034 0.2690 0.9708
F8 0.9258 0.2511 0.4747

=====

[2]
Computed, not measured: SrZn2AgF8 after structural relaxation at the PBE level of DFT.

Cell: 6.9586 6.9586 6.9586 Å, 134.17 134.17 66.83°
Fractional positions:
Sr1 0.0000 0.0000 0.0000
Zn1 0.2500 0.7500 0.5000
Zn2 0.5000 0.5000 0.0000
Ag1 0.7500 0.2500 0.5000
F1 0.0641 0.6396 0.0488
F2 0.1718 0.2265 0.5730
F3 0.3604 0.4093 0.4246
F4 0.4012 0.8282 0.0547
F5 0.5907 0.0153 0.9512
F6 0.6535 0.5988 0.4270
F7 0.7735 0.3465 0.9453
F8 0.9847 0.9359 0.5754

=====

no.,VASP energy (eV per cell)
1,-56.05
2,-50.33